Record 1
Entry from Alexandria via LeMat-Bulk: a relaxed structure of NaPaCrSe4 (PBE).

```
NaPaCrSe4
1.0
-4.000 4.438 5.150
4.000 -4.438 5.150
4.000 4.438 -5.150
Na Pa Cr Se
2 2 2 8
direct
0.434 0.184 0.250
0.566 0.816 0.750
0.000 0.500 0.500
0.500 0.500 0.000
0.000 0.000 0.500
0.000 0.500 0.000
0.175 0.235 0.940
0.206 0.765 0.440
0.260 0.287 0.527
0.260 0.733 0.973
0.740 0.267 0.027
0.740 0.713 0.473
0.794 0.235 0.560
0.825 0.765 0.060
```

- Formation energy from raw total energies: -1017 meV per atom
- Density of states at the Fermi level: 7.637 states/eV per cell
- Magnetic moment: 0.575 μB per atom
- Total energy: -41.496 eV/f.u.



Record 2
Entry from Alexandria via LeMat-Bulk: a relaxed structure of NaPaCr2Se6 (PBE).

```
NaPaCr2Se6
1.0
3.401 1.964 5.941
-3.401 1.964 5.941
0.000 -3.927 5.941
Na Pa Cr Se
1 1 2 6
direct
0.000 0.000 0.000
0.486 0.486 0.486
0.293 0.293 0.293
0.797 0.797 0.797
0.054 0.658 0.437
0.172 0.551 0.924
0.437 0.054 0.658
0.551 0.924 0.172
0.658 0.437 0.054
0.924 0.172 0.551
```

- Formation energy from raw total energies: -806 meV per atom
- Density of states at the Fermi level: 0.206 states/eV per cell
- Magnetic moment: 0.600 μB per atom
- Total energy: -59.026 eV/f.u.



no.,V (Å³ per cell)
1,365.64
2,238.10